{"formula": "ZrBe4Nb", "functional": "PBE-GGA", "state": "relaxed", "lattice": [[-4.450, 1.503, -0.450], [-1.863, 0.605, -4.292], [-3.339, -2.947, -1.559]], "species": ["Be", "Be", "Be", "Be", "Zr", "Nb"], "fractional_positions": [[0.627, 0.627, 0.627], [0.120, 0.627, 0.627], [0.627, 0.627, 0.120], [0.627, 0.120, 0.627], [0.250, 0.250, 0.250], [0.000, 0.000, 0.000]], "density_g_cm3": 4.92, "polymorph_energy_mev_per_atom": 48.3}